VASP calculation (PBE) on crystalline HfTe2W at its relaxed geometry.

Results
- D(E_F) (states/eV/cell) = 12.71
- formation energy (no corrections) (kJ/mol of formula units) = 132
- relative energy among the computed polymorphs (eV per atom) = 0.130

Geometry as CIF:
```
data_HfTe2W
_cell_length_a 3.3607
_cell_length_b 3.3607
_cell_length_c 28.9081
_cell_angle_alpha 90.00
_cell_angle_beta 90.00
_cell_angle_gamma 120.00
_symmetry_space_group_name_H-M 'R -3 m'
_symmetry_Int_Tables_number 166
_symmetry_space_group_name_Hall '-R 3 2"'
loop_
_atom_site_label
_atom_site_type_symbol
_atom_site_fract_x
_atom_site_fract_y
_atom_site_fract_z
Hf1 Hf 0.0000 0.0000 0.0000
Te1 Te 0.0000 0.0000 0.0996
W1 W 0.0000 0.0000 0.5000
```



VASP calculation (PBE) on crystalline HfTe2W at its relaxed geometry.

Results
- D(E_F) (states/eV/cell) = 10.29
- formation energy (no corrections) (kJ/mol of formula units) = 82
- relative energy among the computed polymorphs (eV per atom) = 0.000

Geometry as CIF:
```
data_HfTe2W
_cell_length_a 6.874
_cell_length_b 6.874
_cell_length_c 6.874
_cell_angle_alpha 90.00
_cell_angle_beta 90.00
_cell_angle_gamma 90.00
_symmetry_space_group_name_H-M 'F m -3 m'
_symmetry_Int_Tables_number 225
_symmetry_space_group_name_Hall '-F 4 2 3'
loop_
_atom_site_label
_atom_site_type_symbol
_atom_site_fract_x
_atom_site_fract_y
_atom_site_fract_z
Hf1 Hf 0.000 0.000 0.000
Te1 Te 0.250 0.250 0.250
W1 W 0.000 0.000 0.500
```



VASP calculation (PBE) on crystalline HfTe2W at its relaxed geometry.

Results
- D(E_F) (states/eV/cell) = 19.47
- formation energy (no corrections) (kJ/mol of formula units) = 233
- relative energy among the computed polymorphs (eV per atom) = 0.391

Geometry as CIF:
```
data_HfTe2W
_cell_length_a 4.622
_cell_length_b 4.622
_cell_length_c 18.201
_cell_angle_alpha 90.00
_cell_angle_beta 90.00
_cell_angle_gamma 90.00
_symmetry_space_group_name_H-M 'I -4 2 d'
_symmetry_Int_Tables_number 122
_symmetry_space_group_name_Hall 'I -4 2bw'
loop_
_atom_site_label
_atom_site_type_symbol
_atom_site_fract_x
_atom_site_fract_y
_atom_site_fract_z
Hf1 Hf 0.000 0.000 0.000
Te1 Te 0.231 0.250 0.625
W1 W 0.000 0.000 0.500
```



VASP calculation (PBE) on crystalline Hf3TeW at its relaxed geometry.

Results
- D(E_F) (states/eV/cell) = 5.58
- formation energy (no corrections) (kJ/mol of formula units) = 711
- relative energy among the computed polymorphs (eV per atom) = 0.726

Geometry as CIF:
```
data_Hf3TeW
_cell_length_a 5.090
_cell_length_b 5.090
_cell_length_c 5.090
_cell_angle_alpha 90.00
_cell_angle_beta 90.00
_cell_angle_gamma 90.00
_symmetry_space_group_name_H-M 'P m -3 m'
_symmetry_Int_Tables_number 221
_symmetry_space_group_name_Hall '-P 4 2 3'
loop_
_atom_site_label
_atom_site_type_symbol
_atom_site_fract_x
_atom_site_fract_y
_atom_site_fract_z
Hf1 Hf 0.000 0.000 0.500
Te1 Te 0.000 0.000 0.000
W1 W 0.500 0.500 0.500
```